# 1
The following is a DFT calculation (GGA-PBE) of an optimized crystal structure of WC.

Results
Final energy (eV/atom): -10.38
Energy above the most stable polymorph in this dataset (meV per atom): 838
Theoretical density (Mg/m³): 10.2

```
WC
1.0
5.762 0.000 0.000
0.000 5.762 0.000
0.000 0.000 5.762
W C
6 6
Direct
0.000 0.250 0.500
0.000 0.750 0.500
0.250 0.500 0.000
0.500 0.000 0.250
0.500 0.000 0.750
0.750 0.500 0.000
0.000 0.500 0.250
0.000 0.500 0.750
0.250 0.000 0.500
0.500 0.250 0.000
0.500 0.750 0.000
0.750 0.000 0.500
```



# 2
The following is a DFT calculation (GGA-PBE) of an optimized crystal structure of WC.

Results
Final energy (eV/atom): -10.72
Energy above the most stable polymorph in this dataset (meV per atom): 495
Theoretical density (Mg/m³): 13.1

```
WC
1.0
5.066 -1.498 0.000
5.066 1.498 0.000
-3.052 0.000 4.913
W C
3 3
Direct
0.000 0.000 0.000
0.343 0.343 0.217
0.649 0.649 0.702
0.027 0.027 0.383
0.320 0.320 0.830
0.668 0.668 0.086
```



# 3
The following is a DFT calculation (GGA-PBE) of an optimized crystal structure of WC3.

Results
Final energy (eV/atom): -7.63
Energy above the most stable polymorph in this dataset (meV per atom): 1567
Theoretical density (Mg/m³): 10.6

```
WC3
1.0
3.256 0.000 0.000
0.000 3.256 0.000
0.000 0.000 3.256
W C
1 3
Direct
0.000 0.000 0.000
0.000 0.500 0.500
0.500 0.000 0.500
0.500 0.500 0.000
```



# 4
The following is a DFT calculation (GGA-PBE) of an optimized crystal structure of WC3.

Results
Final energy (eV/atom): -8.49
Energy above the most stable polymorph in this dataset (meV per atom): 705
Theoretical density (Mg/m³): 9.8

```
WC3
1.0
3.222 0.000 0.000
-1.611 2.790 0.000
0.000 0.000 4.144
W C
1 3
Direct
0.000 0.000 0.000
0.000 0.000 0.500
0.333 0.667 0.317
0.333 0.667 0.683
```



# 5
The following is a DFT calculation (GGA-PBE) of an optimized crystal structure of WC3.

Results
Final energy (eV/atom): -8.15
Energy above the most stable polymorph in this dataset (meV per atom): 1049
Theoretical density (Mg/m³): 8.8

```
WC3
1.0
1.211 -2.932 0.000
1.211 2.932 0.000
0.000 0.000 5.812
W C
1 3
Direct
0.000 0.000 0.000
0.000 0.000 0.500
0.500 0.500 0.324
0.500 0.500 0.676
```



# 6
The following is a DFT calculation (GGA-PBE) of an optimized crystal structure of W7C5.

Results
Final energy (eV/atom): -10.05
Theoretical density (Mg/m³): 13.1

```
W7C5
1.0
-3.779 3.779 2.983
3.779 -3.779 2.983
3.779 3.779 -2.983
W C
7 5
Direct
0.000 0.000 0.000
0.169 0.669 0.500
0.196 0.431 0.765
0.431 0.196 0.765
0.431 0.666 0.235
0.666 0.431 0.235
0.669 0.169 0.500
0.344 0.344 0.391
0.344 0.953 0.000
0.663 0.663 0.000
0.953 0.344 0.000
0.953 0.953 0.609
```



# 7
The following is a DFT calculation (GGA-PBE) of an optimized crystal structure of WC3.

Results
Final energy (eV/atom): -9.19
Energy above the most stable polymorph in this dataset (meV per atom): 0
Theoretical density (Mg/m³): 10.6

```
WC3
1.0
2.039 -6.454 0.000
2.039 6.454 0.000
0.000 0.000 2.610
W C
2 6
Direct
0.101 0.899 0.750
0.899 0.101 0.250
0.093 0.538 0.750
0.462 0.907 0.750
0.471 0.529 0.250
0.529 0.471 0.750
0.538 0.093 0.250
0.907 0.462 0.250
```



# 8
The following is a DFT calculation (GGA-PBE) of an optimized crystal structure of W5C7.

Results
Final energy (eV/atom): -10.04
Theoretical density (Mg/m³): 13.1

```
W5C7
1.0
-3.358 3.358 2.811
3.358 -3.358 2.811
3.358 3.358 -2.811
W C
5 7
Direct
0.000 0.000 0.000
0.253 0.253 0.585
0.253 0.669 0.000
0.669 0.253 0.000
0.669 0.669 0.415
0.063 0.763 0.300
0.350 0.350 0.000
0.350 0.850 0.500
0.463 0.763 0.700
0.763 0.063 0.300
0.763 0.463 0.700
0.850 0.350 0.500
```



# 9
The following is a DFT calculation (GGA-PBE) of an optimized crystal structure of WC3.

Results
Final energy (eV/atom): -8.21
Energy above the most stable polymorph in this dataset (meV per atom): 984
Theoretical density (Mg/m³): 11.0

```
WC3
1.0
1.357 0.784 5.221
-1.357 0.784 5.221
0.000 -1.567 5.221
W C
1 3
Direct
0.000 0.000 0.000
0.232 0.232 0.232
0.500 0.500 0.500
0.768 0.768 0.768
```



# 10
The following is a DFT calculation (GGA-PBE) of an optimized crystal structure of W3C.

Results
Final energy (eV/atom): -10.78
Energy above the most stable polymorph in this dataset (meV per atom): 1098
Theoretical density (Mg/m³): 16.6

```
W3C
1.0
2.659 -3.457 0.000
2.659 3.457 0.000
0.000 0.000 3.072
W C
3 1
Direct
0.000 0.000 0.000
0.000 0.500 0.500
0.500 0.000 0.500
0.500 0.500 0.000
```



# 11
The following is a DFT calculation (GGA-PBE) of an optimized crystal structure of WC3.

Results
Final energy (eV/atom): -8.38
Energy above the most stable polymorph in this dataset (meV per atom): 819
Theoretical density (Mg/m³): 10.8

```
WC3
1.0
2.881 0.000 0.000
0.000 2.867 0.000
-0.433 0.000 4.086
W C
1 3
Direct
0.000 0.000 0.000
0.000 0.000 0.500
0.470 0.500 0.682
0.530 0.500 0.318
```



# 12
The following is a DFT calculation (GGA-PBE) of an optimized crystal structure of WC4.

Results
Final energy (eV/atom): -6.74
Energy above the most stable polymorph in this dataset (meV per atom): 2496
Theoretical density (Mg/m³): 5.6

```
WC4
1.0
4.100 0.000 0.000
0.000 4.100 0.000
0.000 0.000 4.100
W C
1 4
Direct
0.000 0.000 0.000
0.000 0.000 0.500
0.000 0.500 0.000
0.500 0.000 0.000
0.500 0.500 0.500
```



> What is the final energy in the seventh record?

-9.19 eV/atom